DFT (PBE) results for CaSiHO2 after structural relaxation.

abc: 3.4340 3.4340 6.0680
angles: 90.00 90.00 90.00
With the nearest neighbours (Å) after each atom.
Positions (direct):
Si1 0.0000 0.0000 0.0000  4 O 1.72
O1 0.5000 0.0000 0.0000  2 Si 1.72
O2 0.0000 0.5000 0.0000  2 Si 1.72
H1 0.5000 0.5000 0.5000  4 Ca 2.43
Ca1 0.0000 0.0000 0.5000  4 H 2.43

Results
Its energy is -25.94 eV/cell. The space group is P4/mmm, No. 123. For the density, the calculation gives 2.3 g/cm3.